Record 1
# K2MgZn2 (GGA-PBE, relaxed)
# **Energy above the most stable polymorph in this dataset**: 0.000 eV per atom
# **Space group**: P4/mbm
data_K2MgZn2
_chemical_formula_sum 'K4 Mg2 Zn4'
_symmetry_space_group_name_H-M 'P 1'
_symmetry_Int_Tables_number 1
_cell_length_a 7.4754
_cell_length_b 7.4754
_cell_length_c 5.7644
_cell_angle_alpha 90.00
_cell_angle_beta 90.00
_cell_angle_gamma 90.00
loop_
_symmetry_equiv_pos_as_xyz
'x,y,z'
loop_
_atom_site_label
_atom_site_type_symbol
_atom_site_fract_x
_atom_site_fract_y
_atom_site_fract_z
K1 K 0.1809 0.3191 0.0000
K2 K 0.3191 0.8191 0.0000
K3 K 0.6809 0.1809 0.0000
K4 K 0.8191 0.6809 0.0000
Mg1 Mg 0.0000 0.0000 0.5000
Mg2 Mg 0.5000 0.5000 0.5000
Zn1 Zn 0.1238 0.6238 0.5000
Zn2 Zn 0.3762 0.1238 0.5000
Zn3 Zn 0.6238 0.8762 0.5000
Zn4 Zn 0.8762 0.3762 0.5000

***

Record 2
# KMgZn2 (GGA-PBE, relaxed)
# **Space group**: I-42d
data_KMgZn2
_chemical_formula_sum 'K2 Mg2 Zn4'
_symmetry_space_group_name_H-M 'P 1'
_symmetry_Int_Tables_number 1
_cell_length_a 10.4133
_cell_length_b 10.4133
_cell_length_c 10.4133
_cell_angle_alpha 151.87
_cell_angle_beta 151.87
_cell_angle_gamma 40.20
loop_
_symmetry_equiv_pos_as_xyz
'x,y,z'
loop_
_atom_site_label
_atom_site_type_symbol
_atom_site_fract_x
_atom_site_fract_y
_atom_site_fract_z
K1 K 0.0000 0.0000 0.0000
K2 K 0.7500 0.2500 0.5000
Mg1 Mg 0.2500 0.7500 0.5000
Mg2 Mg 0.5000 0.5000 0.0000
Zn1 Zn 0.3736 0.6250 0.2486
Zn2 Zn 0.3750 0.6236 0.7486
Zn3 Zn 0.3764 0.1250 0.7514
Zn4 Zn 0.8750 0.6264 0.2514

***

Record 3
# KMg2Zn (GGA-PBE, relaxed)
# **Space group**: Pmmm
data_KMg2Zn
_chemical_formula_sum 'K1 Mg2 Zn1'
_symmetry_space_group_name_H-M 'P 1'
_symmetry_Int_Tables_number 1
_cell_length_a 3.3178
_cell_length_b 3.7690
_cell_length_c 8.9647
_cell_angle_alpha 90.00
_cell_angle_beta 90.00
_cell_angle_gamma 90.00
loop_
_symmetry_equiv_pos_as_xyz
'x,y,z'
loop_
_atom_site_label
_atom_site_type_symbol
_atom_site_fract_x
_atom_site_fract_y
_atom_site_fract_z
K1 K 0.0000 0.0000 0.0000
Mg1 Mg 0.5000 0.5000 0.3313
Mg2 Mg 0.5000 0.5000 0.6687
Zn1 Zn 0.0000 0.0000 0.5000

***

Record 4
# KMg3Zn (GGA-PBE, relaxed)
# **Energy above the most stable polymorph in this dataset**: 0.000 eV per atom
# **Space group**: Pm-3m
data_KMg3Zn
_chemical_formula_sum 'K1 Mg3 Zn1'
_symmetry_space_group_name_H-M 'P 1'
_symmetry_Int_Tables_number 1
_cell_length_a 5.2473
_cell_length_b 5.2473
_cell_length_c 5.2473
_cell_angle_alpha 90.00
_cell_angle_beta 90.00
_cell_angle_gamma 90.00
loop_
_symmetry_equiv_pos_as_xyz
'x,y,z'
loop_
_atom_site_label
_atom_site_type_symbol
_atom_site_fract_x
_atom_site_fract_y
_atom_site_fract_z
K1 K 0.0000 0.0000 0.0000
Mg1 Mg 0.0000 0.5000 0.5000
Mg2 Mg 0.5000 0.0000 0.5000
Mg3 Mg 0.5000 0.5000 0.0000
Zn1 Zn 0.5000 0.5000 0.5000

***

Record 5
# KMg4Zn9 (GGA-PBE, relaxed)
# **Space group**: I4/mcm
data_KMg4Zn9
_chemical_formula_sum 'K2 Mg8 Zn18'
_symmetry_space_group_name_H-M 'P 1'
_symmetry_Int_Tables_number 1
_cell_length_a 9.0724
_cell_length_b 9.0724
_cell_length_c 9.0724
_cell_angle_alpha 119.51
_cell_angle_beta 119.51
_cell_angle_gamma 90.85
loop_
_symmetry_equiv_pos_as_xyz
'x,y,z'
loop_
_atom_site_label
_atom_site_type_symbol
_atom_site_fract_x
_atom_site_fract_y
_atom_site_fract_z
K1 K 0.2500 0.2500 0.0000
K2 K 0.7500 0.7500 0.0000
Mg1 Mg 0.0623 0.5623 0.8796
Mg2 Mg 0.1827 0.0623 0.5000
Mg3 Mg 0.3173 0.8173 0.8796
Mg4 Mg 0.4377 0.3173 0.5000
Mg5 Mg 0.5623 0.6827 0.5000
Mg6 Mg 0.6827 0.1827 0.1204
Mg7 Mg 0.8173 0.9377 0.5000
Mg8 Mg 0.9377 0.4377 0.1204
Zn1 Zn 0.0000 0.5000 0.5000
Zn2 Zn 0.0506 0.2005 0.2511
Zn3 Zn 0.0675 0.7785 0.5000
Zn4 Zn 0.2005 0.9494 0.1499
Zn5 Zn 0.2215 0.7215 0.2890
Zn6 Zn 0.2785 0.5675 0.5000
Zn7 Zn 0.2995 0.4494 0.7489
Zn8 Zn 0.4325 0.9325 0.7110
Zn9 Zn 0.4494 0.7005 0.1499
Zn10 Zn 0.5000 0.0000 0.5000
Zn11 Zn 0.5506 0.2995 0.8501
Zn12 Zn 0.5675 0.0675 0.2890
Zn13 Zn 0.7005 0.5506 0.2511
Zn14 Zn 0.7215 0.4325 0.5000
Zn15 Zn 0.7785 0.2785 0.7110
Zn16 Zn 0.7995 0.0506 0.8501
Zn17 Zn 0.9325 0.2215 0.5000
Zn18 Zn 0.9494 0.7995 0.7489

***

Record 6
# KMgZn2 (GGA-PBE, relaxed)
# **Space group**: C2/m
data_KMgZn2
_chemical_formula_sum 'K1 Mg1 Zn2'
_symmetry_space_group_name_H-M 'P 1'
_symmetry_Int_Tables_number 1
_cell_length_a 5.0713
_cell_length_b 5.0713
_cell_length_c 6.9259
_cell_angle_alpha 100.44
_cell_angle_beta 100.44
_cell_angle_gamma 38.99
loop_
_symmetry_equiv_pos_as_xyz
'x,y,z'
loop_
_atom_site_label
_atom_site_type_symbol
_atom_site_fract_x
_atom_site_fract_y
_atom_site_fract_z
K1 K 0.0000 0.0000 0.0000
Mg1 Mg 0.5000 0.5000 0.5000
Zn1 Zn 0.2336 0.2336 0.6420
Zn2 Zn 0.7664 0.7664 0.3580

***

Record 7
# KMg14Zn (GGA-PBE, relaxed)
# **Energy above the most stable polymorph in this dataset**: 0.000 eV per atom
# **Space group**: Amm2
data_KMg14Zn
_chemical_formula_sum 'K1 Mg14 Zn1'
_symmetry_space_group_name_H-M 'P 1'
_symmetry_Int_Tables_number 1
_cell_length_a 10.6013
_cell_length_b 6.4853
_cell_length_c 6.4853
_cell_angle_alpha 59.43
_cell_angle_beta 90.00
_cell_angle_gamma 90.00
loop_
_symmetry_equiv_pos_as_xyz
'x,y,z'
loop_
_atom_site_label
_atom_site_type_symbol
_atom_site_fract_x
_atom_site_fract_y
_atom_site_fract_z
K1 K 0.0000 0.0000 0.0000
Mg1 Mg 0.0000 0.0054 0.4946
Mg2 Mg 0.0000 0.4946 0.0054
Mg3 Mg 0.2317 0.6485 0.6485
Mg4 Mg 0.2562 0.1567 0.6465
Mg5 Mg 0.2562 0.6465 0.1567
Mg6 Mg 0.2634 0.1578 0.1578
Mg7 Mg 0.5000 0.4885 0.4885
Mg8 Mg 0.5000 0.4919 0.9809
Mg9 Mg 0.5000 0.9809 0.4919
Mg10 Mg 0.5000 0.9865 0.9865
Mg11 Mg 0.7366 0.1578 0.1578
Mg12 Mg 0.7438 0.1567 0.6465
Mg13 Mg 0.7438 0.6465 0.1567
Mg14 Mg 0.7683 0.6485 0.6485
Zn1 Zn 0.0000 0.4770 0.4770

***

Record 8
# KMg2Zn (GGA-PBE, relaxed)
# **Space group**: Pmmm
data_KMg2Zn
_chemical_formula_sum 'K1 Mg2 Zn1'
_symmetry_space_group_name_H-M 'P 1'
_symmetry_Int_Tables_number 1
_cell_length_a 3.6049
_cell_length_b 5.4630
_cell_length_c 5.7330
_cell_angle_alpha 90.00
_cell_angle_beta 90.00
_cell_angle_gamma 90.00
loop_
_symmetry_equiv_pos_as_xyz
'x,y,z'
loop_
_atom_site_label
_atom_site_type_symbol
_atom_site_fract_x
_atom_site_fract_y
_atom_site_fract_z
K1 K 0.0000 0.0000 0.0000
Mg1 Mg 0.0000 0.5000 0.5000
Mg2 Mg 0.5000 0.0000 0.5000
Zn1 Zn 0.5000 0.5000 0.0000

***

no.,N(E_F) (states/eV/atom),energy relative to the elements (meV per atom)
1,0.388,133
2,0.539,205
3,0.473,121
4,0.379,136
5,0.192,-84
6,0.364,118
7,0.323,84
8,0.426,271